Entry 1:
KInBr2 GGA-PBEsol relaxed; E above lowest polymorph = 18.3 meV/atom; ΔE_f (raw) = -1134 meV/atom; total magnetization = 0.000 Bohr magnetons per cell
1.0
4.604 0.000 0.000
2.302 3.987 0.000
2.302 1.329 7.576
K Br In
1 2 1
direct
0.000 0.000 0.000
0.250 0.250 0.249
0.750 0.750 0.751
0.500 0.500 0.500

=====

Entry 2:
KInBr2 GGA-PBEsol relaxed; E above lowest polymorph = 0.0 meV/atom; ΔE_f (raw) = -1153 meV/atom; total magnetization = 0.000 Bohr magnetons per cell
1.0
-4.263 1.702 0.003
-1.705 -4.272 0.060
0.036 0.077 6.487
K Br In
1 2 1
direct
0.874 0.500 0.500
0.877 0.500 0.000
0.374 0.000 0.500
0.375 0.000 0.000